1.
Below is a relaxed structure of LuInHgPd, with properties calculated at the PBE level.

Unit cell a=4.895 b=4.895 c=4.895 alpha=60.00 beta=60.00 gamma=60.00
Fractional coordinates of all 4 atoms:
Lu  0.750  0.750  0.750
Hg  0.500  0.500  0.500
Pd  0.000  0.000  0.000
In  0.250  0.250  0.250

Calculated values
The calculated density comes out at 11.9 Mg/m³. Its crystal system is cubic. The total DFT energy (no corrections) comes out at -14.894 eV/cell. Its symmetry is No. 216.

2.
Below is a relaxed structure of K2InBr, with properties calculated at the PBE level.

Unit cell a=3.845 b=3.885 c=10.344 alpha=67.91 beta=90.00 gamma=90.00
Fractional coordinates of all 4 atoms:
Br  0.500  0.250  0.250
In  0.500  0.750  0.750
K  0.000  0.960  0.040
K  0.000  0.540  0.460

Calculated values
The calculated density comes out at 3.2 Mg/m³. Its crystal system is orthorhombic. The value obtained for the energy relative to the elements, uncorrected is -0.77 eV/atom. Its symmetry is No. 47.

3.
Below is a relaxed structure of ScNb2GaH, with properties calculated at the PBE level.

Unit cell a=4.067 b=4.067 c=4.555 alpha=90.00 beta=90.00 gamma=90.00
Fractional coordinates of all 5 atoms:
Sc  0.000  0.000  0.500
H  0.000  0.000  0.000
Nb  0.000  0.500  0.000
Nb  0.500  0.000  0.000
Ga  0.500  0.500  0.500

Calculated values
The calculated density comes out at 6.6 Mg/m³. Its crystal system is tetragonal. The total DFT energy (no corrections) comes out at -34.236 eV/cell. Its symmetry is No. 123.

4.
Below is a relaxed structure of CePaFe, with properties calculated at the PBE level.

Unit cell a=4.468 b=6.923 c=8.254 alpha=93.31 beta=90.00 gamma=90.00
Fractional coordinates of all 12 atoms:
Ce  0.500  0.236  0.919
Ce  0.500  0.764  0.081
Ce  0.000  0.264  0.581
Ce  0.000  0.736  0.419
Pa  0.000  0.371  0.145
Pa  0.500  0.871  0.645
Pa  0.000  0.629  0.855
Pa  0.500  0.129  0.355
Fe  0.500  0.548  0.662
Fe  0.500  0.452  0.338
Fe  0.000  0.048  0.162
Fe  0.000  0.952  0.838

Calculated values
The calculated density comes out at 11.1 Mg/m³. Its crystal system is monoclinic. The total DFT energy (no corrections) comes out at -96.676 eV/cell. Its symmetry is No. 12.